ZnRu2Cl | GGA-PBE | optimized geometry

## Properties
Calculated total energy, Ry per atom: -0.3583
DOS(E_F), states/eV/cell: 8.08
Raw formation energy, eV/atom: 0.5436

abc: 2.8676 4.3779 9.4546
angles: 90.00 90.00 90.00
With the nearest neighbours (Å) after each atom.
Space group Imm2 (No. 44)
Inequivalent atoms, fractional coordinates:
Zn: 0.0000 0.0000 0.0000  4 Ru 2.62, 2 Zn 2.87, 2 Cl 2.92
Ru: 0.0000 0.0000 0.4851  2 Cl 2.50, 4 Zn 2.62, 2 Ru 2.66
Ru: 0.0000 0.5000 0.2225  4 Cl 2.65, 4 Ru 2.66-2.87
Cl: 0.0000 0.5000 0.7686  6 Ru 2.50-2.65



ZnRu2Cl | GGA-PBE | optimized geometry

## Properties
Calculated total energy, Ry per atom: -0.3500
DOS(E_F), states/eV/cell: 4.59
Raw formation energy, eV/atom: 0.6557

abc: 4.3721 4.3721 2.9700
angles: 90.00 90.00 90.00
With the nearest neighbours (Å) after each atom.
Space group P4/mmm (No. 123)
Inequivalent atoms, fractional coordinates:
Zn: 0.0000 0.0000 0.0000  8 Ru 2.64
Ru: 0.0000 0.5000 0.5000  4 Cl 2.64, 4 Zn 2.64
Cl: 0.5000 0.5000 0.0000  8 Ru 2.64



ZnRu4Cl | GGA-PBE | optimized geometry

## Properties
Calculated total energy, Ry per atom: -0.4216
DOS(E_F), states/eV/cell: 27.54
Raw formation energy, eV/atom: 0.9685

abc: 7.3468 7.3468 7.3468
angles: 90.00 90.00 90.00
With the nearest neighbours (Å) after each atom.
Space group F-43m (No. 216)
Inequivalent atoms, fractional coordinates:
Zn: 0.0000 0.0000 0.0000  12 Ru 3.05, 4 Cl 3.18
Ru: 0.1245 0.1245 0.3755  6 Ru 2.59-2.61
Cl: 0.2500 0.2500 0.7500  12 Ru 3.04, 4 Zn 3.18



ZnRuCl | GGA-PBE | optimized geometry

## Properties
Calculated total energy, Ry per atom: -0.2550
DOS(E_F), states/eV/cell: 15.42
Raw formation energy, eV/atom: 0.6632

abc: 6.0595 6.0595 6.0595
angles: 90.00 90.00 90.00
With the nearest neighbours (Å) after each atom.
Space group F-43m (No. 216)
Inequivalent atoms, fractional coordinates:
Zn: 0.0000 0.0000 0.0000  4 Ru 2.62
Ru: 0.2500 0.2500 0.2500  4 Cl 2.62, 4 Zn 2.62
Cl: 0.0000 0.0000 0.5000  4 Ru 2.62